No. 1
Computed, not measured: a relaxed structure of La2HgRu at the PBEsol level of DFT.

```
data_La2HgRu
_chemical_formula_sum 'La2 Hg1 Ru1'
_cell_length_a 3.467
_cell_length_b 3.776
_cell_length_c 7.733
_cell_angle_alpha 90.00
_cell_angle_beta 98.22
_cell_angle_gamma 90.00
_space_group_name_H-M_alt 'P 1'
_space_group_IT_number 1
loop_
_space_group_symop_operation_xyz
'x,y,z'
loop_
_atom_site_label
_atom_site_type_symbol
_atom_site_fract_x
_atom_site_fract_y
_atom_site_fract_z
La1 La 0.088 0.000 0.282
La2 La 0.912 0.000 0.718
Hg1 Hg 0.500 0.500 0.000
Ru1 Ru 0.500 0.500 0.500
```

## Properties
**Magnetization**: 0.001 μB per formula unit
**SG**: P2/m, No. 10
**Energy**: -0.2086 hartree per atom

=====

No. 2
Computed, not measured: a relaxed structure of HfIn2AgC at the PBEsol level of DFT.

```
data_HfIn2AgC
_chemical_formula_sum 'Hf1 In2 Ag1 C1'
_cell_length_a 4.585
_cell_length_b 4.585
_cell_length_c 4.369
_cell_angle_alpha 90.00
_cell_angle_beta 90.00
_cell_angle_gamma 90.00
_space_group_name_H-M_alt 'P 1'
_space_group_IT_number 1
loop_
_space_group_symop_operation_xyz
'x,y,z'
loop_
_atom_site_label
_atom_site_type_symbol
_atom_site_fract_x
_atom_site_fract_y
_atom_site_fract_z
Hf1 Hf 0.000 0.000 0.000
In1 In 0.000 0.500 0.500
In2 In 0.500 0.000 0.500
Ag1 Ag 0.500 0.500 0.000
C1 C 0.000 0.000 0.500
```

## Properties
**Magnetization**: 0.000 μB per formula unit
**SG**: P4/mmm, No. 123
**Energy**: -0.2030 hartree per atom

=====

No. 3
Computed, not measured: a relaxed structure of La2YTlBi at the PBEsol level of DFT.

```
data_La2YTlBi
_chemical_formula_sum 'La2 Y1 Tl1 Bi1'
_cell_length_a 5.703
_cell_length_b 5.703
_cell_length_c 5.714
_cell_angle_alpha 90.00
_cell_angle_beta 90.00
_cell_angle_gamma 90.00
_space_group_name_H-M_alt 'P 1'
_space_group_IT_number 1
loop_
_space_group_symop_operation_xyz
'x,y,z'
loop_
_atom_site_label
_atom_site_type_symbol
_atom_site_fract_x
_atom_site_fract_y
_atom_site_fract_z
La1 La 0.000 0.500 0.000
La2 La 0.500 0.000 0.000
Y1 Y 0.000 0.000 0.000
Tl1 Tl 0.500 0.500 0.500
Bi1 Bi 0.000 0.000 0.500
```

## Properties
**Magnetization**: 0.001 μB per formula unit
**SG**: P4/mmm, No. 123
**Energy**: -0.1665 hartree per atom

=====

No. 4
Computed, not measured: a relaxed structure of SrMo3Pd at the PBEsol level of DFT.

```
data_SrMo3Pd
_chemical_formula_sum 'Sr1 Mo3 Pd1'
_cell_length_a 4.817
_cell_length_b 4.817
_cell_length_c 4.817
_cell_angle_alpha 90.00
_cell_angle_beta 90.00
_cell_angle_gamma 90.00
_space_group_name_H-M_alt 'P 1'
_space_group_IT_number 1
loop_
_space_group_symop_operation_xyz
'x,y,z'
loop_
_atom_site_label
_atom_site_type_symbol
_atom_site_fract_x
_atom_site_fract_y
_atom_site_fract_z
Sr1 Sr 0.000 0.000 0.000
Mo1 Mo 0.000 0.500 0.500
Mo2 Mo 0.500 0.000 0.500
Mo3 Mo 0.500 0.500 0.000
Pd1 Pd 0.500 0.500 0.500
```

## Properties
**Magnetization**: 0.011 μB per formula unit
**SG**: Pm-3m, No. 221
**Energy**: -0.2519 hartree per atom

=====

No. 5
Computed, not measured: a relaxed structure of Ca3Mg4 at the PBEsol level of DFT.

```
data_Ca3Mg4
_chemical_formula_sum 'Ca3 Mg4'
_cell_length_a 14.892
_cell_length_b 14.892
_cell_length_c 14.892
_cell_angle_alpha 165.53
_cell_angle_beta 165.53
_cell_angle_gamma 20.51
_space_group_name_H-M_alt 'P 1'
_space_group_IT_number 1
loop_
_space_group_symop_operation_xyz
'x,y,z'
loop_
_atom_site_label
_atom_site_type_symbol
_atom_site_fract_x
_atom_site_fract_y
_atom_site_fract_z
Ca1 Ca 0.000 0.000 0.000
Ca2 Ca 0.299 0.299 0.000
Ca3 Ca 0.701 0.701 0.000
Mg1 Mg 0.128 0.128 0.000
Mg2 Mg 0.426 0.426 0.000
Mg3 Mg 0.574 0.574 0.000
Mg4 Mg 0.872 0.872 0.000
```

## Properties
**Magnetization**: 0.000 μB per formula unit
**SG**: I4/mmm, No. 139
**Energy**: -0.0715 hartree per atom

=====

No. 6
Computed, not measured: a relaxed structure of YTlHg2 at the PBEsol level of DFT.

```
data_YTlHg2
_chemical_formula_sum 'Y1 Tl1 Hg2'
_cell_length_a 3.778
_cell_length_b 3.778
_cell_length_c 6.831
_cell_angle_alpha 90.00
_cell_angle_beta 90.00
_cell_angle_gamma 90.00
_space_group_name_H-M_alt 'P 1'
_space_group_IT_number 1
loop_
_space_group_symop_operation_xyz
'x,y,z'
loop_
_atom_site_label
_atom_site_type_symbol
_atom_site_fract_x
_atom_site_fract_y
_atom_site_fract_z
Y1 Y 0.000 0.000 0.000
Tl1 Tl 0.000 0.000 0.500
Hg1 Hg 0.500 0.500 0.242
Hg2 Hg 0.500 0.500 0.758
```

## Properties
**Magnetization**: 0.001 μB per formula unit
**SG**: P4/mmm, No. 123
**Energy**: -0.1098 hartree per atom